PBE UMnAlCr, optimized geometry; size of the total moment = 1.445 μB/f.u.; energy = -0.620 Ry/atom; DFT formation energy = 0.0151 eV/atom
1.0
6.234 0.000 0.000
0.000 6.234 0.000
0.000 0.000 6.234
U Mn Al Cr
4 4 4 4
Direct
0.000 0.000 0.000
0.000 0.500 0.500
0.500 0.000 0.500
0.500 0.500 0.000
0.250 0.250 0.750
0.250 0.750 0.250
0.750 0.250 0.250
0.750 0.750 0.750
0.000 0.000 0.500
0.000 0.500 0.000
0.500 0.000 0.000
0.500 0.500 0.500
0.250 0.250 0.250
0.250 0.750 0.750
0.750 0.250 0.750
0.750 0.750 0.250


PBE Al2CrMo, optimized geometry; energy above the lowest structure with this stoichiometry = 26 meV per atom; size of the total moment = 0.000 μB/f.u.; energy = -0.524 Ry/atom; DFT formation energy = -0.1434 eV/atom
1.0
4.285 0.000 0.000
0.000 4.285 0.000
0.000 0.000 6.074
Al Cr Mo
4 2 2
Direct
0.000 0.000 0.000
0.000 0.500 0.250
0.500 0.000 0.750
0.500 0.500 0.500
0.000 0.500 0.750
0.500 0.000 0.250
0.000 0.000 0.500
0.500 0.500 0.000


PBE Al2Cr2Mo, optimized geometry; energy above the lowest structure with this stoichiometry = 113 meV per atom; size of the total moment = 0.000 μB/f.u.; energy = -0.532 Ry/atom; DFT formation energy = 0.2735 eV/atom
1.0
3.394 0.000 0.000
0.000 3.394 0.000
0.000 0.000 12.435
Al Cr Mo
4 4 2
Direct
0.000 0.000 0.098
0.000 0.000 0.902
0.500 0.500 0.402
0.500 0.500 0.598
0.000 0.500 0.250
0.000 0.500 0.750
0.500 0.000 0.250
0.500 0.000 0.750
0.000 0.000 0.500
0.500 0.500 0.000


PBE AlCr2Mo2, optimized geometry; energy above the lowest structure with this stoichiometry = 260 meV per atom; size of the total moment = 0.000 μB/f.u.; energy = -0.615 Ry/atom; DFT formation energy = 0.5561 eV/atom
1.0
4.113 0.000 0.000
0.000 4.113 0.000
0.000 0.000 9.499
Al Cr Mo
2 4 4
Direct
0.000 0.000 0.000
0.500 0.500 0.500
0.000 0.000 0.386
0.000 0.000 0.614
0.500 0.500 0.114
0.500 0.500 0.886
0.000 0.500 0.250
0.000 0.500 0.750
0.500 0.000 0.250
0.500 0.000 0.750


PBE AlCrMo2, optimized geometry; size of the total moment = 0.000 μB/f.u.; energy = -0.603 Ry/atom; DFT formation energy = 0.5510 eV/atom
1.0
6.988 0.000 0.000
0.000 6.988 0.000
0.000 0.000 5.242
Al Cr Mo
4 4 8
Direct
0.000 0.000 0.000
0.000 0.500 0.250
0.500 0.000 0.750
0.500 0.500 0.500
0.000 0.000 0.500
0.000 0.500 0.750
0.500 0.000 0.250
0.500 0.500 0.000
0.204 0.250 0.625
0.250 0.704 0.875
0.250 0.796 0.375
0.296 0.250 0.125
0.704 0.750 0.125
0.750 0.204 0.375
0.750 0.296 0.875
0.796 0.750 0.625


PBE AlCrMo2, optimized geometry; size of the total moment = 0.000 μB/f.u.; energy = -0.641 Ry/atom; DFT formation energy = 0.0355 eV/atom
1.0
2.980 0.000 0.000
0.000 2.980 0.000
0.000 0.000 6.560
Al Cr Mo
1 1 2
Direct
0.000 0.000 0.000
0.000 0.000 0.500
0.500 0.500 0.270
0.500 0.500 0.730


PBE AlCr3Mo, optimized geometry; energy above the lowest structure with this stoichiometry = 0 meV per atom; size of the total moment = 7.222 μB/f.u.; energy = -0.536 Ry/atom; DFT formation energy = 1.4014 eV/atom
1.0
4.611 0.000 0.000
0.000 4.611 0.000
0.000 0.000 4.611
Al Cr Mo
1 3 1
Direct
0.000 0.000 0.000
0.000 0.500 0.500
0.500 0.000 0.500
0.500 0.500 0.000
0.500 0.500 0.500


PBE Al2CrMo, optimized geometry; energy above the lowest structure with this stoichiometry = 0 meV per atom; size of the total moment = 0.000 μB/f.u.; energy = -0.526 Ry/atom; DFT formation energy = -0.1697 eV/atom
1.0
3.129 0.000 0.000
0.000 3.129 0.000
0.000 0.000 5.861
Al Cr Mo
2 1 1
Direct
0.000 0.000 0.000
0.500 0.500 0.269
0.000 0.000 0.515
0.500 0.500 0.737


PBE AlCrMo2, optimized geometry; size of the total moment = 0.000 μB/f.u.; energy = -0.644 Ry/atom; DFT formation energy = -0.0004 eV/atom
1.0
3.139 0.000 0.000
0.000 4.373 0.000
0.000 0.000 8.540
Al Cr Mo
2 2 4
Direct
0.000 0.000 0.000
0.500 0.500 0.000
0.000 0.500 0.238
0.500 0.000 0.238
0.000 0.000 0.477
0.000 0.500 0.741
0.500 0.000 0.741
0.500 0.500 0.477


PBE Al2CrMo, optimized geometry; energy above the lowest structure with this stoichiometry = 236 meV per atom; size of the total moment = 0.000 μB/f.u.; energy = -0.509 Ry/atom; DFT formation energy = 0.0660 eV/atom
1.0
2.776 0.000 0.000
-1.388 2.405 0.000
0.000 0.000 26.266
Al Cr Mo
6 3 3
Direct
0.000 0.000 0.247
0.000 0.000 0.753
0.333 0.667 0.420
0.333 0.667 0.913
0.667 0.333 0.087
0.667 0.333 0.580
0.000 0.000 0.500
0.333 0.667 0.167
0.667 0.333 0.833
0.000 0.000 0.000
0.333 0.667 0.667
0.667 0.333 0.333


PBE Al2CrMo, optimized geometry; energy above the lowest structure with this stoichiometry = 154 meV per atom; size of the total moment = 2.213 μB/f.u.; energy = -0.515 Ry/atom; DFT formation energy = -0.0153 eV/atom
1.0
5.395 0.000 0.000
0.000 7.948 0.000
0.000 0.000 2.757
Al Cr Mo
4 2 2
Direct
0.250 0.250 0.000
0.250 0.750 0.000
0.750 0.250 0.000
0.750 0.750 0.000
0.000 0.000 0.500
0.500 0.500 0.500
0.000 0.500 0.500
0.500 0.000 0.500


PBE AlCrMo2, optimized geometry; size of the total moment = 2.709 μB/f.u.; energy = -0.645 Ry/atom; DFT formation energy = -0.0138 eV/atom
1.0
6.209 0.000 0.000
0.000 6.209 0.000
0.000 0.000 6.209
Al Cr Mo
4 4 8
Direct
0.000 0.000 0.000
0.000 0.500 0.500
0.500 0.000 0.500
0.500 0.500 0.000
0.250 0.250 0.250
0.250 0.750 0.750
0.750 0.250 0.750
0.750 0.750 0.250
0.000 0.000 0.500
0.000 0.500 0.000
0.250 0.250 0.750
0.250 0.750 0.250
0.500 0.000 0.000
0.500 0.500 0.500
0.750 0.250 0.250
0.750 0.750 0.750


PBE Al2CrMo, optimized geometry; energy above the lowest structure with this stoichiometry = 90 meV per atom; size of the total moment = 0.000 μB/f.u.; energy = -0.519 Ry/atom; DFT formation energy = -0.0801 eV/atom
1.0
3.220 0.000 0.000
0.000 4.202 0.000
0.000 0.000 8.388
Al Cr Mo
4 2 2
Direct
0.000 0.000 0.243
0.000 0.000 0.757
0.500 0.500 0.257
0.500 0.500 0.743
0.000 0.500 0.500
0.500 0.000 0.000
0.000 0.500 0.000
0.500 0.000 0.500


PBE Al2CrMo, optimized geometry; energy above the lowest structure with this stoichiometry = 99 meV per atom; size of the total moment = 0.000 μB/f.u.; energy = -0.519 Ry/atom; DFT formation energy = -0.0706 eV/atom
1.0
2.665 0.000 0.000
0.000 4.160 0.000
-1.307 0.000 5.129
Al Cr Mo
2 1 1
Direct
0.216 0.000 0.259
0.784 0.000 0.741
0.000 0.500 0.500
0.500 0.500 0.000


PBE AlCrMo, optimized geometry; energy above the lowest structure with this stoichiometry = 0 meV per atom; size of the total moment = 0.028 μB/f.u.; energy = -0.602 Ry/atom; DFT formation energy = -0.1211 eV/atom
1.0
3.105 0.000 0.000
0.000 3.105 0.000
0.000 0.000 8.837
Al Cr Mo
2 2 2
Direct
0.000 0.000 0.000
0.500 0.500 0.500
0.000 0.000 0.326
0.500 0.500 0.826
0.000 0.000 0.686
0.500 0.500 0.186


PBE AlCrMo, optimized geometry; energy above the lowest structure with this stoichiometry = 5 meV per atom; size of the total moment = 0.000 μB/f.u.; energy = -0.601 Ry/atom; DFT formation energy = -0.1156 eV/atom
1.0
4.270 0.000 0.000
-2.135 3.698 0.000
0.000 0.000 2.668
Al Cr Mo
1 1 1
Direct
0.000 0.000 0.000
0.667 0.333 0.345
0.333 0.667 0.586


PBE Al2CrMo, optimized geometry; energy above the lowest structure with this stoichiometry = 627 meV per atom; size of the total moment = 0.000 μB/f.u.; energy = -0.480 Ry/atom; DFT formation energy = 0.4573 eV/atom
1.0
6.797 0.000 0.000
0.000 6.797 0.000
0.000 0.000 5.285
Al Cr Mo
8 4 4
Direct
0.235 0.250 0.125
0.250 0.735 0.375
0.250 0.765 0.875
0.265 0.250 0.625
0.735 0.750 0.625
0.750 0.235 0.875
0.750 0.265 0.375
0.765 0.750 0.125
0.000 0.000 0.000
0.000 0.500 0.250
0.500 0.000 0.750
0.500 0.500 0.500
0.000 0.000 0.500
0.000 0.500 0.750
0.500 0.000 0.250
0.500 0.500 0.000


PBE Al2CrMo, optimized geometry; energy above the lowest structure with this stoichiometry = 173 meV per atom; size of the total moment = 3.333 μB/f.u.; energy = -0.513 Ry/atom; DFT formation energy = 0.0031 eV/atom
1.0
4.493 0.000 0.000
0.000 4.493 0.000
0.000 0.000 2.940
Al Cr Mo
2 1 1
Direct
0.000 0.500 0.000
0.500 0.000 0.000
0.000 0.000 0.500
0.500 0.500 0.500


PBE AlCrMo, optimized geometry; energy above the lowest structure with this stoichiometry = 163 meV per atom; size of the total moment = 0.000 μB/f.u.; energy = -0.590 Ry/atom; DFT formation energy = 0.0419 eV/atom
1.0
2.624 0.000 0.000
0.000 4.144 0.000
0.000 0.000 7.839
Al Cr Mo
2 2 2
Direct
0.000 0.000 0.000
0.500 0.500 0.500
0.000 0.000 0.659
0.500 0.500 0.159
0.000 0.000 0.335
0.500 0.500 0.835


PBE AlCrMo2, optimized geometry; size of the total moment = 0.000 μB/f.u.; energy = -0.647 Ry/atom; DFT formation energy = -0.0517 eV/atom
1.0
3.120 0.000 0.000
0.000 4.339 0.000
0.000 0.000 8.593
Al Cr Mo
2 2 4
Direct
0.000 0.000 0.000
0.500 0.500 0.500
0.000 0.500 0.753
0.500 0.000 0.253
0.000 0.000 0.483
0.000 0.500 0.232
0.500 0.000 0.732
0.500 0.500 0.983